(1)
Below is a relaxed structure of ErHfB, with properties calculated at the PBE-GGA level.

Computed properties:
Energy above the lowest structure with this stoichiometry in eV per atom: 0.000
E_tot in eV per cell: -21.01

Geometry as POSCAR:
```
ErHfB
1.0
0.000 3.040 3.040
3.040 0.000 3.040
3.040 3.040 0.000
Er Hf B
1 1 1
Direct
0.000 0.000 0.000 Er
0.500 0.500 0.500 Hf
0.250 0.250 0.250 B
```



(2)
Below is a relaxed structure of ErHfB4, with properties calculated at the PBE-GGA level.

Computed properties:
E_tot in eV per cell: -46.28

Geometry as POSCAR:
```
ErHfB4
1.0
3.193 0.000 0.000
-1.596 2.765 0.000
0.000 0.000 7.307
Er Hf B
1 1 4
Direct
0.000 0.000 0.000 Er
0.000 0.000 0.500 Hf
0.333 0.667 0.265 B
0.333 0.667 0.735 B
0.667 0.333 0.265 B
0.667 0.333 0.735 B
```



(3)
Below is a relaxed structure of ErHgB4, with properties calculated at the PBE-GGA level.

Computed properties:
Energy above the lowest structure with this stoichiometry in eV per atom: 0.201
E_tot in eV per cell: -30.46

Geometry as POSCAR:
```
ErHgB4
1.0
3.216 0.000 0.000
-1.608 2.785 0.000
0.000 0.000 7.857
Er Hg B
1 1 4
Direct
0.000 0.000 0.000 Er
0.000 0.000 0.500 Hg
0.333 0.667 0.236 B
0.333 0.667 0.764 B
0.667 0.333 0.236 B
0.667 0.333 0.764 B
```



(4)
Below is a relaxed structure of ErHgB4, with properties calculated at the PBE-GGA level.

Computed properties:
Energy above the lowest structure with this stoichiometry in eV per atom: 0.000
E_tot in eV per cell: -31.66

Geometry as POSCAR:
```
ErHgB4
1.0
-1.599 2.644 4.141
1.599 -2.644 4.141
1.599 2.644 -4.141
Er Hg B
1 1 4
Direct
0.000 0.000 0.000 Er
0.500 0.500 0.000 Hg
0.050 0.732 0.318 B
0.414 0.732 0.682 B
0.586 0.268 0.318 B
0.950 0.268 0.682 B
```